Compound: Y3IrSeCl
Source: Alexandria via LeMat-Bulk
Functional: PBE-GGA
Structure: optimized geometry

Cell and atoms, written as CIF:
```
data_Y3IrSeCl
_space_group_name_H-M_alt 'P 1'
_space_group_IT_number 1
_cell_length_a 4.0417
_cell_length_b 8.1148
_cell_length_c 9.8893
_cell_angle_alpha 93.74
_cell_angle_beta 90.00
_cell_angle_gamma 90.00
loop_
_space_group_symop_operation_xyz
'x,y,z'
loop_
_atom_site_label
_atom_site_fract_x
_atom_site_fract_y
_atom_site_fract_z
Y1 0.7500 0.8115 0.1141
Y2 0.2500 0.1885 0.8859
Y3 0.2500 0.6442 0.3890
Y4 0.7500 0.3558 0.6110
Y5 0.7500 0.3492 0.1830
Y6 0.2500 0.6508 0.8170
Ir1 0.2500 0.5644 0.1070
Ir2 0.7500 0.4356 0.8930
Se1 0.2500 0.0836 0.1635
Se2 0.7500 0.9164 0.8365
Cl1 0.2500 0.1360 0.5930
Cl2 0.7500 0.8640 0.4070
```

Values from the calculation:
As for the total energy: -41.33 eV/f.u. The value obtained for the uncorrected formation energy is -1.291 eV per atom. The calculation puts the total magnetization at 0.000 Bohr magnetons per cell.



Compound: KC2IN2
Source: Alexandria via LeMat-Bulk
Functional: PBE-GGA
Structure: optimized geometry

Cell and atoms, written as CIF:
```
data_KC2IN2
_space_group_name_H-M_alt 'P 1'
_space_group_IT_number 1
_cell_length_a 4.4658
_cell_length_b 4.4658
_cell_length_c 9.3814
_cell_angle_alpha 92.55
_cell_angle_beta 92.55
_cell_angle_gamma 61.87
loop_
_space_group_symop_operation_xyz
'x,y,z'
loop_
_atom_site_label
_atom_site_fract_x
_atom_site_fract_y
_atom_site_fract_z
K1 0.5000 0.5000 0.5000
C1 0.8933 0.8933 0.7685
C2 0.1067 0.1067 0.2315
I1 0.0000 0.0000 0.0000
N1 0.8422 0.8422 0.6480
N2 0.1578 0.1578 0.3520
```

Values from the calculation:
As for the total energy: -37.24 eV/f.u. The value obtained for the uncorrected formation energy is 0.085 eV per atom. The calculation puts the total magnetization at 0.000 Bohr magnetons per cell.



Compound: AcTb4SmDy2
Source: Alexandria via LeMat-Bulk
Functional: PBE-GGA
Structure: optimized geometry

Cell and atoms, written as CIF:
```
data_AcTb4SmDy2
_space_group_name_H-M_alt 'P 1'
_space_group_IT_number 1
_cell_length_a 5.1346
_cell_length_b 5.1124
_cell_length_c 11.4139
_cell_angle_alpha 63.40
_cell_angle_beta 90.00
_cell_angle_gamma 90.00
loop_
_space_group_symop_operation_xyz
'x,y,z'
loop_
_atom_site_label
_atom_site_fract_x
_atom_site_fract_y
_atom_site_fract_z
Ac1 0.5000 0.5000 0.0000
Tb1 0.0000 0.7567 0.7433
Tb2 0.0000 0.2433 0.2567
Tb3 0.5000 0.7424 0.2575
Tb4 0.5000 0.2576 0.7425
Sm1 0.0000 0.5000 0.5000
Dy1 0.0000 0.0000 0.0000
Dy2 0.5000 0.0000 0.5000
```

Values from the calculation:
As for the total energy: -36.25 eV/f.u. For the energy of formation, the calculation gives 37 meV per atom. The calculation puts the total magnetization at 0.000 Bohr magnetons per cell.



Compound: K2CrOsS
Source: Alexandria via LeMat-Bulk
Functional: PBE-GGA
Structure: optimized geometry

Cell and atoms, written as CIF:
```
data_K2CrOsS
_space_group_name_H-M_alt 'P 1'
_space_group_IT_number 1
_cell_length_a 6.1130
_cell_length_b 4.3124
_cell_length_c 6.1130
_cell_angle_alpha 90.00
_cell_angle_beta 90.00
_cell_angle_gamma 90.00
loop_
_space_group_symop_operation_xyz
'x,y,z'
loop_
_atom_site_label
_atom_site_fract_x
_atom_site_fract_y
_atom_site_fract_z
Cr1 0.5000 0.5000 0.5000
K1 0.0000 0.0000 0.5000
K2 0.5000 0.0000 0.0000
Os1 0.0000 0.5000 0.0000
S1 0.0000 0.0000 0.0000
```

Values from the calculation:
As for the total energy: -23.54 eV/f.u. The value obtained for the uncorrected formation energy is 0.728 eV per atom. The calculation puts the total magnetization at 4.930 Bohr magnetons per cell.



Compound: Be3ReSi
Source: Alexandria via LeMat-Bulk
Functional: PBE-GGA
Structure: optimized geometry

Cell and atoms, written as CIF:
```
data_Be3ReSi
_space_group_name_H-M_alt 'P 1'
_space_group_IT_number 1
_cell_length_a 4.2521
_cell_length_b 4.2521
_cell_length_c 4.2521
_cell_angle_alpha 90.00
_cell_angle_beta 90.00
_cell_angle_gamma 90.00
loop_
_space_group_symop_operation_xyz
'x,y,z'
loop_
_atom_site_label
_atom_site_fract_x
_atom_site_fract_y
_atom_site_fract_z
Re1 0.0000 0.0000 0.0000
Si1 0.5000 0.5000 0.5000
Be1 0.0000 0.5000 0.0000
Be2 0.0000 0.0000 0.5000
Be3 0.5000 0.0000 0.0000
```

Values from the calculation:
The excess energy over the best structure of this formula in the dataset is 0 meV per atom. As for the total energy: -22.94 eV/f.u. The value obtained for the uncorrected formation energy is 1.222 eV per atom. The calculation puts the total magnetization at 0.000 Bohr magnetons per cell.



Compound: Mg4Tl
Source: Alexandria via LeMat-Bulk
Functional: PBE-GGA
Structure: optimized geometry

Cell and atoms, written as CIF:
```
data_Mg4Tl
_space_group_name_H-M_alt 'P 1'
_space_group_IT_number 1
_cell_length_a 5.6101
_cell_length_b 5.6101
_cell_length_c 5.6101
_cell_angle_alpha 98.82
_cell_angle_beta 98.82
_cell_angle_gamma 133.89
loop_
_space_group_symop_operation_xyz
'x,y,z'
loop_
_atom_site_label
_atom_site_fract_x
_atom_site_fract_y
_atom_site_fract_z
Mg1 0.8023 0.4005 0.2028
Mg2 0.4005 0.1977 0.5982
Mg3 0.1977 0.5995 0.7972
Mg4 0.5995 0.8023 0.4018
Tl1 0.0000 0.0000 0.0000
```

Values from the calculation:
The excess energy over the best structure of this formula in the dataset is 0 meV per atom. As for the total energy: -8.84 eV/f.u. For the energy of formation, the calculation gives -18 meV per atom. The calculation puts the total magnetization at 0.000 Bohr magnetons per cell.



Compound: SrScBr2
Source: Alexandria via LeMat-Bulk
Functional: PBE-GGA
Structure: optimized geometry

Cell and atoms, written as CIF:
```
data_SrScBr2
_space_group_name_H-M_alt 'P 1'
_space_group_IT_number 1
_cell_length_a 10.2544
_cell_length_b 10.2544
_cell_length_c 10.2544
_cell_angle_alpha 21.97
_cell_angle_beta 21.97
_cell_angle_gamma 21.97
loop_
_space_group_symop_operation_xyz
'x,y,z'
loop_
_atom_site_label
_atom_site_fract_x
_atom_site_fract_y
_atom_site_fract_z
Sc1 0.5000 0.5000 0.5000
Sr1 0.0000 0.0000 0.0000
Br1 0.8882 0.8882 0.8882
Br2 0.1118 0.1118 0.1118
```

Values from the calculation:
The excess energy over the best structure of this formula in the dataset is 111 meV per atom. As for the total energy: -15.38 eV/f.u. The value obtained for the uncorrected formation energy is -1.006 eV per atom. The calculation puts the total magnetization at 0.000 Bohr magnetons per cell.



Compound: NaSr3Pd
Source: Alexandria via LeMat-Bulk
Functional: PBE-GGA
Structure: optimized geometry

Cell and atoms, written as CIF:
```
data_NaSr3Pd
_space_group_name_H-M_alt 'P 1'
_space_group_IT_number 1
_cell_length_a 8.7461
_cell_length_b 8.7461
_cell_length_c 6.9551
_cell_angle_alpha 90.00
_cell_angle_beta 90.00
_cell_angle_gamma 128.20
loop_
_space_group_symop_operation_xyz
'x,y,z'
loop_
_atom_site_label
_atom_site_fract_x
_atom_site_fract_y
_atom_site_fract_z
Sr1 0.0557 0.4421 0.2500
Sr2 0.5579 0.9443 0.2500
Sr3 0.4421 0.0557 0.7500
Sr4 0.9443 0.5579 0.7500
Sr5 0.0000 0.0000 0.0000
Sr6 0.0000 0.0000 0.5000
Pd1 0.1627 0.8373 0.2500
Pd2 0.8373 0.1627 0.7500
Na1 0.5681 0.4319 0.2500
Na2 0.4319 0.5681 0.7500
```

Values from the calculation:
The excess energy over the best structure of this formula in the dataset is 221 meV per atom. As for the total energy: -11.88 eV/f.u. For the energy of formation, the calculation gives -65 meV per atom. The calculation puts the total magnetization at 0.000 Bohr magnetons per cell.



Compound: Pr4SiSBr2
Source: Alexandria via LeMat-Bulk
Functional: PBE-GGA
Structure: optimized geometry

Cell and atoms, written as CIF:
```
data_Pr4SiSBr2
_space_group_name_H-M_alt 'P 1'
_space_group_IT_number 1
_cell_length_a 4.2508
_cell_length_b 7.2370
_cell_length_c 7.8043
_cell_angle_alpha 108.69
_cell_angle_beta 90.00
_cell_angle_gamma 90.00
loop_
_space_group_symop_operation_xyz
'x,y,z'
loop_
_atom_site_label
_atom_site_fract_x
_atom_site_fract_y
_atom_site_fract_z
Pr1 0.5000 0.2299 0.2015
Pr2 0.5000 0.7701 0.7985
Pr3 0.0000 0.2590 0.7939
Pr4 0.0000 0.7410 0.2061
Si1 0.5000 0.5000 0.0000
S1 0.0000 0.0000 0.0000
Br1 0.5000 0.0000 0.5000
Br2 0.0000 0.5000 0.5000
```

Values from the calculation:
As for the total energy: -43.02 eV/f.u. The value obtained for the uncorrected formation energy is -1.375 eV per atom. The calculation puts the total magnetization at 0.000 Bohr magnetons per cell.



Compound: YThBi2
Source: Alexandria via LeMat-Bulk
Functional: PBE-GGA
Structure: optimized geometry

Cell and atoms, written as CIF:
```
data_YThBi2
_space_group_name_H-M_alt 'P 1'
_space_group_IT_number 1
_cell_length_a 4.5073
_cell_length_b 4.5073
_cell_length_c 15.6254
_cell_angle_alpha 90.00
_cell_angle_beta 90.00
_cell_angle_gamma 120.00
loop_
_space_group_symop_operation_xyz
'x,y,z'
loop_
_atom_site_label
_atom_site_fract_x
_atom_site_fract_y
_atom_site_fract_z
Y1 0.0000 0.0000 0.7500
Y2 0.0000 0.0000 0.2500
Th1 0.0000 0.0000 0.0000
Th2 0.0000 0.0000 0.5000
Bi1 0.6667 0.3333 0.8734
Bi2 0.6667 0.3333 0.6266
Bi3 0.3333 0.6667 0.3734
Bi4 0.3333 0.6667 0.1266
```

Values from the calculation:
The excess energy over the best structure of this formula in the dataset is 124 meV per atom. As for the total energy: -24.07 eV/f.u. For the energy of formation, the calculation gives -606 meV per atom. The calculation puts the total magnetization at 0.000 Bohr magnetons per cell.



Compound: HgSb6Au12
Source: Alexandria via LeMat-Bulk
Functional: PBE-GGA
Structure: optimized geometry

Cell and atoms, written as CIF:
```
data_HgSb6Au12
_space_group_name_H-M_alt 'P 1'
_space_group_IT_number 1
_cell_length_a 11.0764
_cell_length_b 7.7585
_cell_length_c 7.7585
_cell_angle_alpha 80.78
_cell_angle_beta 61.58
_cell_angle_gamma 118.42
loop_
_space_group_symop_operation_xyz
'x,y,z'
loop_
_atom_site_label
_atom_site_fract_x
_atom_site_fract_y
_atom_site_fract_z
Hg1 0.0000 0.0000 0.0000
Sb1 0.5352 0.5086 0.2116
Sb2 0.9734 0.7202 0.4914
Sb3 0.2532 0.7884 0.7202
Sb4 0.4648 0.4914 0.7884
Sb5 0.0266 0.2798 0.5086
Sb6 0.7468 0.2116 0.2798
Au1 0.4858 0.9082 0.2731
Au2 0.5776 0.8187 0.9082
Au3 0.7589 0.2731 0.8187
Au4 0.5142 0.0918 0.7269
Au5 0.4224 0.1813 0.0918
Au6 0.2411 0.7269 0.1813
Au7 0.2763 0.4568 0.6131
Au8 0.1106 0.3869 0.0699
Au9 0.1805 0.0699 0.5432
Au10 0.7237 0.5432 0.3869
Au11 0.8894 0.6131 0.9301
Au12 0.8195 0.9301 0.4568
```

Values from the calculation:
As for the total energy: -64.52 eV/f.u. The value obtained for the uncorrected formation energy is -0.008 eV per atom. The calculation puts the total magnetization at 0.000 Bohr magnetons per cell.



Compound: MgSc2Ga
Source: Alexandria via LeMat-Bulk
Functional: PBE-GGA
Structure: optimized geometry

Cell and atoms, written as CIF:
```
data_MgSc2Ga
_space_group_name_H-M_alt 'P 1'
_space_group_IT_number 1
_cell_length_a 3.4632
_cell_length_b 3.4632
_cell_length_c 6.9449
_cell_angle_alpha 90.00
_cell_angle_beta 90.00
_cell_angle_gamma 90.00
loop_
_space_group_symop_operation_xyz
'x,y,z'
loop_
_atom_site_label
_atom_site_fract_x
_atom_site_fract_y
_atom_site_fract_z
Sc1 0.0000 0.0000 0.7678
Sc2 0.0000 0.0000 0.2322
Mg1 0.5000 0.5000 0.5000
Ga1 0.5000 0.5000 0.0000
```

Values from the calculation:
As for the total energy: -18.66 eV/f.u. For the energy of formation, the calculation gives -343 meV per atom. The calculation puts the total magnetization at 0.000 Bohr magnetons per cell.